1.
Below is a relaxed structure of LuZnCoW, with properties calculated at the PBE level.

Its space group is F-43m. The calculated formation energy comes out at 458 meV/atom. Its energy above the most stable polymorph in this dataset is 0.0 kJ/mol of atoms. The calculation puts the mass density at 12.37 Mg/m³.

a = 4.5103 Å, b = 4.5103 Å, c = 4.5103 Å
α = 60.00°, β = 60.00°, γ = 60.00°
Fractional coordinates of all 4 atoms:
Lu 0.0000 0.0000 0.0000
Zn 0.2500 0.2500 0.2500
Co 0.5000 0.5000 0.5000
W 0.7500 0.7500 0.7500

2.
Below is a relaxed structure of Cu2Ag3, with properties calculated at the PBE level.

Its space group is Cm. The calculated formation energy comes out at 94 meV/atom. Its energy above the most stable polymorph in this dataset is 5.9 kJ/mol of atoms. The calculation puts the mass density at 9.58 Mg/m³.

a = 11.4314 Å, b = 11.4314 Å, c = 4.8499 Å
α = 95.31°, β = 95.31°, γ = 14.34°
Fractional coordinates of all 10 atoms:
Cu 0.0000 0.0000 0.0000
Cu 0.0921 0.0921 0.7143
Cu 0.5031 0.5031 0.5363
Cu 0.8006 0.8006 0.6178
Ag 0.1997 0.1997 0.4224
Ag 0.3004 0.3004 0.1156
Ag 0.4020 0.4020 0.8140
Ag 0.5928 0.5928 0.2173
Ag 0.6934 0.6934 0.9104
Ag 0.9069 0.9069 0.3210

3.
Below is a relaxed structure of HgI2, with properties calculated at the PBE level.

Its space group is P2_1/c. The electronic total energy is -16.6 eV/cell. The calculation puts the mass density at 5.97 Mg/m³.

a = 7.2006 Å, b = 9.7092 Å, c = 7.3005 Å
α = 90.00°, β = 97.68°, γ = 90.00°
Fractional coordinates of all 12 atoms:
Hg 0.2500 0.1304 0.0043
Hg 0.2500 0.3696 0.5043
Hg 0.7500 0.6304 0.4957
Hg 0.7500 0.8696 0.9957
I 0.0051 0.1185 0.2535
I 0.0051 0.3815 0.7535
I 0.4973 0.6316 0.7376
I 0.4973 0.8684 0.2376
I 0.5027 0.1316 0.7624
I 0.5027 0.3684 0.2624
I 0.9949 0.6185 0.2465
I 0.9949 0.8815 0.7465

4.
Below is a relaxed structure of GdH, with properties calculated at the PBE level.

Its space group is Fm-3m. The electronic total energy is -8.8 eV/cell. The calculation puts the mass density at 8.61 Mg/m³.

a = 3.5072 Å, b = 3.5072 Å, c = 3.5072 Å
α = 60.00°, β = 60.00°, γ = 60.00°
Fractional coordinates of all 2 atoms:
Gd 0.0000 0.0000 0.0000
H 0.5000 0.5000 0.5000

5.
Below is a relaxed structure of Pr8B7Cl7, with properties calculated at the PBE level.

Its space group is P-1. The electronic total energy is -249.6 eV/cell. The calculation puts the mass density at 5.23 Mg/m³.

a = 7.7774 Å, b = 9.2049 Å, c = 14.3818 Å
α = 91.32°, β = 97.83°, γ = 114.97°
Fractional coordinates of all 44 atoms:
Pr 0.0181 0.1618 0.3010
Pr 0.1013 0.7197 0.4657
Pr 0.2136 0.5817 0.2466
Pr 0.2194 0.7264 0.9234
Pr 0.2601 0.4183 0.7538
Pr 0.2902 0.2875 0.0860
Pr 0.4062 0.2955 0.5324
Pr 0.4561 0.8380 0.6991
Pr 0.5439 0.1620 0.3009
Pr 0.5938 0.7045 0.4676
Pr 0.7098 0.7125 0.9140
Pr 0.7399 0.5817 0.2462
Pr 0.7806 0.2736 0.0766
Pr 0.7864 0.4183 0.7534
Pr 0.8987 0.2803 0.5343
Pr 0.9819 0.8382 0.6990
B 0.0720 0.5777 0.6316
B 0.1342 0.6423 0.7510
B 0.1738 0.4619 0.4331
B 0.2454 0.5379 0.5669
B 0.3253 0.4232 0.3752
B 0.3779 0.3720 0.2692
B 0.4647 0.5767 0.6248
B 0.5353 0.4233 0.3752
B 0.6221 0.6280 0.7308
B 0.6747 0.5768 0.6248
B 0.7546 0.4621 0.4331
B 0.8262 0.5381 0.5669
B 0.8658 0.3577 0.2490
B 0.9280 0.4223 0.3684
Cl 0.0000 0.0000 0.5000
Cl 0.0467 0.3674 0.9319
Cl 0.0763 0.9650 0.8954
Cl 0.1373 0.8808 0.2881
Cl 0.3693 0.1331 0.7090
Cl 0.4121 0.0327 0.1036
Cl 0.4697 0.6411 0.0704
Cl 0.5000 0.0000 0.5000
Cl 0.5303 0.3589 0.9296
Cl 0.5879 0.9673 0.8964
Cl 0.6307 0.8669 0.2910
Cl 0.8627 0.1192 0.7119
Cl 0.9237 0.0350 0.1046
Cl 0.9533 0.6326 0.0681

6.
Below is a relaxed structure of CdGa2Ir, with properties calculated at the PBE level.

Its space group is F-43m. The electronic total energy is -15.2 eV/cell. The calculation puts the mass density at 10.74 Mg/m³.

a = 4.5956 Å, b = 4.5956 Å, c = 4.5956 Å
α = 60.00°, β = 60.00°, γ = 60.00°
Fractional coordinates of all 4 atoms:
Cd 0.0000 0.0000 0.0000
Ga 0.5000 0.5000 0.5000
Ga 0.7500 0.7500 0.7500
Ir 0.2500 0.2500 0.2500

7.
Below is a relaxed structure of NbNi2Bi, with properties calculated at the PBE level.

Its space group is F-43m. The electronic total energy is -24.0 eV/cell. The calculation puts the mass density at 10.63 Mg/m³.

a = 4.5240 Å, b = 4.5240 Å, c = 4.5240 Å
α = 60.00°, β = 60.00°, γ = 60.00°
Fractional coordinates of all 4 atoms:
Nb 0.0000 0.0000 0.0000
Ni 0.2500 0.2500 0.2500
Ni 0.5000 0.5000 0.5000
Bi 0.7500 0.7500 0.7500

8.
Below is a relaxed structure of LuZnFePb, with properties calculated at the PBE level.

Its space group is F-43m. Its energy above the most stable polymorph in this dataset is 0.0 kJ/mol of atoms. The calculation puts the mass density at 10.51 Mg/m³.

a = 4.8275 Å, b = 4.8275 Å, c = 4.8275 Å
α = 60.00°, β = 60.00°, γ = 60.00°
Fractional coordinates of all 4 atoms:
Lu 0.0000 0.0000 0.0000
Zn 0.7500 0.7500 0.7500
Fe 0.5000 0.5000 0.5000
Pb 0.2500 0.2500 0.2500

9.
Below is a relaxed structure of DyTlTe3Au, with properties calculated at the PBE level.

Its space group is Cmcm. Its energy above the most stable polymorph in this dataset is 0.0 kJ/mol of atoms. The calculation puts the mass density at 8.47 Mg/m³.

a = 8.1776 Å, b = 8.1776 Å, c = 11.2203 Å
α = 90.00°, β = 90.00°, γ = 150.34°
Fractional coordinates of all 12 atoms:
Dy 0.0000 0.0000 0.0000
Dy 0.0000 0.0000 0.5000
Tl 0.2367 0.7633 0.7500
Tl 0.7633 0.2367 0.2500
Te 0.0836 0.9164 0.2500
Te 0.3614 0.6386 0.0521
Te 0.3614 0.6386 0.4479
Te 0.6386 0.3614 0.5521
Te 0.6386 0.3614 0.9479
Te 0.9164 0.0836 0.7500
Au 0.4672 0.5328 0.2500
Au 0.5328 0.4672 0.7500

10.
Below is a relaxed structure of TlFeCoAu, with properties calculated at the PBE level.

Its space group is F-43m. Its energy above the most stable polymorph in this dataset is 0.0 kJ/mol of atoms. The calculation puts the mass density at 13.63 Mg/m³.

a = 4.4638 Å, b = 4.4638 Å, c = 4.4638 Å
α = 60.00°, β = 60.00°, γ = 60.00°
Fractional coordinates of all 4 atoms:
Tl 0.0000 0.0000 0.0000
Fe 0.7500 0.7500 0.7500
Co 0.2500 0.2500 0.2500
Au 0.5000 0.5000 0.5000

11.
Below is a relaxed structure of AcHfAsO, with properties calculated at the PBE level.

Its space group is Pmc2_1. Its energy above the most stable polymorph in this dataset is 23.9 kJ/mol of atoms. The calculation puts the mass density at 8.13 Mg/m³.

a = 4.3200 Å, b = 7.4666 Å, c = 6.2899 Å
α = 90.00°, β = 90.00°, γ = 90.00°
Fractional coordinates of all 8 atoms:
Ac 0.0000 0.2181 0.0000
Ac 0.0000 0.7819 0.5000
Hf 0.5000 0.3967 0.5560
Hf 0.5000 0.6033 0.0560
As 0.0000 0.1984 0.4968
As 0.0000 0.8016 0.9968
O 0.5000 0.3679 0.8833
O 0.5000 0.6321 0.3833

12.
Below is a relaxed structure of KZrAuSe3, with properties calculated at the PBE level.

Its space group is Pnma. The electronic total energy is -115.3 eV/cell. The calculation puts the mass density at 6.36 Mg/m³.

a = 7.9579 Å, b = 4.3281 Å, c = 17.1020 Å
α = 90.00°, β = 90.00°, γ = 90.00°
Fractional coordinates of all 24 atoms:
K 0.1433 0.2500 0.1833
K 0.3567 0.7500 0.6833
K 0.6433 0.2500 0.3167
K 0.8567 0.7500 0.8167
Zr 0.2385 0.2500 0.9529
Zr 0.2615 0.7500 0.4529
Zr 0.7385 0.2500 0.5471
Zr 0.7615 0.7500 0.0471
Au 0.0003 0.2500 0.6710
Au 0.9997 0.7500 0.3290
Au 0.5003 0.2500 0.8290
Au 0.4997 0.7500 0.1710
Se 0.0038 0.2500 0.4257
Se 0.1268 0.7500 0.0353
Se 0.1688 0.2500 0.8027
Se 0.3312 0.7500 0.3027
Se 0.3732 0.2500 0.5353
Se 0.4962 0.7500 0.9257
Se 0.5038 0.2500 0.0743
Se 0.6268 0.7500 0.4647
Se 0.6688 0.2500 0.6973
Se 0.8312 0.7500 0.1973
Se 0.8732 0.2500 0.9647
Se 0.9962 0.7500 0.5743

13.
Below is a relaxed structure of Tb2ErCd3In3, with properties calculated at the PBE level.

Its space group is Amm2. The electronic total energy is -28.4 eV/cell. The calculation puts the mass density at 8.60 Mg/m³.

a = 4.6217 Å, b = 7.4928 Å, c = 7.4928 Å
α = 119.78°, β = 90.00°, γ = 90.00°
Fractional coordinates of all 9 atoms:
Tb 0.0000 0.2168 0.7832
Tb 0.0000 0.7832 0.2168
Er 0.0000 0.6512 0.6512
Cd 0.5000 0.2170 0.4632
Cd 0.5000 0.4632 0.2170
Cd 0.5000 0.9716 0.9716
In 0.0000 0.2191 0.2191
In 0.5000 0.5511 0.8825
In 0.5000 0.8825 0.5511

14.
Below is a relaxed structure of DyTm2PbC, with properties calculated at the PBE level.

Its space group is P4/mmm. The electronic total energy is -29.3 eV/cell. The calculation puts the mass density at 10.42 Mg/m³.

a = 4.8305 Å, b = 4.8305 Å, c = 4.9127 Å
α = 90.00°, β = 90.00°, γ = 90.00°
Fractional coordinates of all 5 atoms:
Dy 0.0000 0.0000 0.0000
Tm 0.0000 0.5000 0.5000
Tm 0.5000 0.0000 0.5000
Pb 0.5000 0.5000 0.0000
C 0.0000 0.0000 0.5000

15.
Below is a relaxed structure of InPOsO, with properties calculated at the PBE level.

Its space group is Pmc2_1. Its energy above the most stable polymorph in this dataset is 21.5 kJ/mol of atoms. The calculation puts the mass density at 8.71 Mg/m³.

a = 3.4786 Å, b = 7.0221 Å, c = 5.4951 Å
α = 90.00°, β = 90.00°, γ = 90.00°
Fractional coordinates of all 8 atoms:
In 0.0000 0.0845 0.0000
In 0.0000 0.9155 0.5000
P 0.0000 0.3420 0.4301
P 0.0000 0.6580 0.9301
Os 0.5000 0.4734 0.6392
Os 0.5000 0.5266 0.1392
O 0.5000 0.2773 0.9195
O 0.5000 0.7227 0.4195

16.
Below is a relaxed structure of HoLuNb2Ge2, with properties calculated at the PBE level.

Its space group is P4mm. The electronic total energy is -42.4 eV/cell. The calculation puts the mass density at 8.92 Mg/m³.

a = 4.0145 Å, b = 4.0145 Å, c = 7.7483 Å
α = 90.00°, β = 90.00°, γ = 90.00°
Fractional coordinates of all 6 atoms:
Ho 0.0000 0.0000 0.0000
Lu 0.5000 0.5000 0.2949
Nb 0.0000 0.5000 0.6450
Nb 0.5000 0.0000 0.6450
Ge 0.0000 0.0000 0.3947
Ge 0.5000 0.5000 0.8953

17.
Below is a relaxed structure of KRb2AuCl6, with properties calculated at the PBE level.

Its space group is Fm-3m. The electronic total energy is -29.2 eV/cell. The calculation puts the mass density at 3.22 Mg/m³.

a = 7.6717 Å, b = 7.6717 Å, c = 7.6717 Å
α = 60.00°, β = 60.00°, γ = 60.00°
Fractional coordinates of all 10 atoms:
K 0.0000 0.0000 0.0000
Rb 0.2500 0.2500 0.2500
Rb 0.7500 0.7500 0.7500
Au 0.5000 0.5000 0.5000
Cl 0.2692 0.2692 0.7308
Cl 0.2692 0.7308 0.2692
Cl 0.2692 0.7308 0.7308
Cl 0.7308 0.2692 0.2692
Cl 0.7308 0.2692 0.7308
Cl 0.7308 0.7308 0.2692

18.
Below is a relaxed structure of TaN2, with properties calculated at the PBE level.

Its space group is P6_3/mmc. The electronic total energy is -59.7 eV/cell. The calculation puts the mass density at 11.10 Mg/m³.

a = 3.0490 Å, b = 3.0490 Å, c = 7.7630 Å
α = 90.00°, β = 90.00°, γ = 120.00°
Fractional coordinates of all 6 atoms:
Ta 0.3333 0.6667 0.2500
Ta 0.6667 0.3333 0.7500
N 0.0000 0.0000 0.0904
N 0.0000 0.0000 0.4096
N 0.0000 0.0000 0.5904
N 0.0000 0.0000 0.9096

19.
Below is a relaxed structure of CsCuReIr, with properties calculated at the PBE level.

Its space group is F-43m. Its energy above the most stable polymorph in this dataset is 34.3 kJ/mol of atoms. The calculation puts the mass density at 13.53 Mg/m³.

a = 4.6384 Å, b = 4.6384 Å, c = 4.6384 Å
α = 60.00°, β = 60.00°, γ = 60.00°
Fractional coordinates of all 4 atoms:
Cs 0.0000 0.0000 0.0000
Cu 0.5000 0.5000 0.5000
Re 0.7500 0.7500 0.7500
Ir 0.2500 0.2500 0.2500

20.
Below is a relaxed structure of Ba2GdOsS6, with properties calculated at the PBE level.

Its space group is I4/m. The electronic total energy is -57.3 eV/cell. The calculation puts the mass density at 5.45 Mg/m³.

a = 7.1023 Å, b = 7.1023 Å, c = 7.1023 Å
α = 121.27°, β = 121.27°, γ = 87.81°
Fractional coordinates of all 10 atoms:
Ba 0.2500 0.7500 0.5000
Ba 0.7500 0.2500 0.5000
Gd 0.0000 0.0000 0.0000
Os 0.5000 0.5000 0.0000
S 0.2105 0.3214 0.5319
S 0.2658 0.2658 0.0000
S 0.3214 0.7895 0.1109
S 0.6786 0.2105 0.8891
S 0.7342 0.7342 0.0000
S 0.7895 0.6786 0.4681

21.
Below is a relaxed structure of GaCo2Se4, with properties calculated at the PBE level.

Its space group is P4_122. Its energy above the most stable polymorph in this dataset is 0.0 kJ/mol of atoms. The calculation puts the mass density at 6.12 Mg/m³.

a = 7.2949 Å, b = 7.2949 Å, c = 10.2603 Å
α = 90.00°, β = 90.00°, γ = 90.00°
Fractional coordinates of all 28 atoms:
Ga 0.2494 0.2494 0.3750
Ga 0.2494 0.7506 0.1250
Ga 0.7506 0.2494 0.6250
Ga 0.7506 0.7506 0.8750
Co 0.0000 0.2504 0.0000
Co 0.0000 0.7496 0.5000
Co 0.2504 0.0000 0.7500
Co 0.2504 0.5000 0.7500
Co 0.5000 0.2504 0.0000
Co 0.5000 0.7496 0.5000
Co 0.7496 0.0000 0.2500
Co 0.7496 0.5000 0.2500
Se 0.0362 0.2500 0.7668
Se 0.0362 0.7500 0.7332
Se 0.2500 0.0362 0.9832
Se 0.2500 0.4648 0.9833
Se 0.2500 0.5352 0.5167
Se 0.2500 0.9638 0.5168
Se 0.4648 0.2500 0.7667
Se 0.4648 0.7500 0.7333
Se 0.5352 0.2500 0.2333
Se 0.5352 0.7500 0.2667
Se 0.7500 0.0362 0.0168
Se 0.7500 0.4648 0.0167
Se 0.7500 0.5352 0.4833
Se 0.7500 0.9638 0.4832
Se 0.9638 0.2500 0.2332
Se 0.9638 0.7500 0.2668

22.
Below is a relaxed structure of KNaAu, with properties calculated at the PBE level.

Its space group is F-43m. The electronic total energy is -5.4 eV/cell. The calculation puts the mass density at 3.95 Mg/m³.

a = 5.3596 Å, b = 5.3596 Å, c = 5.3596 Å
α = 60.00°, β = 60.00°, γ = 60.00°
Fractional coordinates of all 3 atoms:
K 0.0000 0.0000 0.0000
Na 0.7500 0.7500 0.7500
Au 0.2500 0.2500 0.2500

23.
Below is a relaxed structure of HoPuIn, with properties calculated at the PBE level.

Its space group is F-43m. Its energy above the most stable polymorph in this dataset is 0.0 kJ/mol of atoms. The calculation puts the mass density at 8.67 Mg/m³.

a = 5.2150 Å, b = 5.2150 Å, c = 5.2150 Å
α = 60.00°, β = 60.00°, γ = 60.00°
Fractional coordinates of all 3 atoms:
Ho 0.0000 0.0000 0.0000
Pu 0.5000 0.5000 0.5000
In 0.2500 0.2500 0.2500